A relaxed Tm2Cd5Pb crystal. Source: the Alexandria database, functional PBE.

Results
Space group: Pbam

a b c (Å): 6.5635 13.1392 4.4644
angles (deg): 90.00 90.00 90.00
With the nearest neighbours (Å) after each atom.
Atoms (fractional coordinates):
Tm1 0.2302 0.1192 0.0000  2 Pb 3.12, 10 Cd 3.22-3.35
Tm2 0.2698 0.6192 0.0000  2 Pb 3.12, 10 Cd 3.22-3.35
Tm3 0.7302 0.3808 0.0000  2 Pb 3.12, 10 Cd 3.22-3.35
Tm4 0.7698 0.8808 0.0000  2 Pb 3.12, 10 Cd 3.22-3.35
Cd1 0.0000 0.5000 0.5000  6 Cd 3.21, 4 Tm 3.25, 2 Pb 3.28
Cd2 0.0202 0.7444 0.5000  7 Cd 3.11-3.29, 4 Tm 3.22-3.30, 1 Pb 3.36
Cd3 0.2261 0.3655 0.0000  6 Cd 3.11-3.21, 4 Tm 3.24-3.35, 2 Pb 3.37
Cd4 0.2739 0.8655 0.0000  6 Cd 3.11-3.21, 4 Tm 3.24-3.35, 2 Pb 3.37
Cd5 0.4798 0.2444 0.5000  7 Cd 3.11-3.29, 4 Tm 3.22-3.30, 1 Pb 3.36
Cd6 0.5000 0.0000 0.5000  6 Cd 3.21, 4 Tm 3.25, 2 Pb 3.28
Cd7 0.5202 0.7556 0.5000  7 Cd 3.11-3.29, 4 Tm 3.22-3.30, 1 Pb 3.36
Cd8 0.7261 0.1345 0.0000  6 Cd 3.11-3.21, 4 Tm 3.24-3.35, 2 Pb 3.37
Cd9 0.7739 0.6345 0.0000  6 Cd 3.11-3.21, 4 Tm 3.24-3.35, 2 Pb 3.37
Cd10 0.9798 0.2556 0.5000  7 Cd 3.11-3.29, 4 Tm 3.22-3.30, 1 Pb 3.36
Pb1 0.0000 0.0000 0.5000  4 Tm 3.12, 8 Cd 3.28-3.37
Pb2 0.5000 0.5000 0.5000  4 Tm 3.12, 8 Cd 3.28-3.37



A relaxed Tm5Cd2Pb2 crystal. Source: the Alexandria database, functional PBE.

Results
Space group: Cmce

a b c (Å): 8.8983 8.8983 7.8005
angles (deg): 90.00 90.00 54.76
With the nearest neighbours (Å) after each atom.
Atoms (fractional coordinates):
Tm1 0.0000 0.0000 0.0000  4 Cd 3.09-3.20, 2 Pb 3.29
Tm2 0.0380 0.6882 0.6676  3 Pb 3.12-3.17, 3 Cd 3.14-3.31
Tm3 0.1882 0.5380 0.1676  3 Pb 3.12-3.17, 3 Cd 3.14-3.31
Tm4 0.3118 0.9620 0.6676  3 Pb 3.12-3.17, 3 Cd 3.14-3.31
Tm5 0.4620 0.8118 0.1676  3 Pb 3.12-3.17, 3 Cd 3.14-3.31
Tm6 0.5000 0.5000 0.5000  4 Cd 3.09-3.20, 2 Pb 3.29
Tm7 0.5380 0.1882 0.8324  3 Pb 3.12-3.17, 3 Cd 3.14-3.31
Tm8 0.6882 0.0380 0.3324  3 Pb 3.12-3.17, 3 Cd 3.14-3.31
Tm9 0.8118 0.4620 0.8324  3 Pb 3.12-3.17, 3 Cd 3.14-3.31
Tm10 0.9620 0.3118 0.3324  3 Pb 3.12-3.17, 3 Cd 3.14-3.31
Cd1 0.1287 0.8713 0.3730  1 Cd 2.89, 6 Tm 3.09-3.20
Cd2 0.3713 0.6287 0.8730  1 Cd 2.89, 6 Tm 3.09-3.20
Cd3 0.6287 0.3713 0.1270  1 Cd 2.89, 6 Tm 3.09-3.20
Cd4 0.8713 0.1287 0.6270  1 Cd 2.89, 6 Tm 3.09-3.20
Pb1 0.2082 0.2082 0.0000  7 Tm 3.12-3.29
Pb2 0.2918 0.2918 0.5000  7 Tm 3.12-3.29
Pb3 0.7082 0.7082 0.5000  7 Tm 3.12-3.29
Pb4 0.7918 0.7918 0.0000  7 Tm 3.12-3.29



Number 1: uncorrected energy -2.41 eV/atom, energy relative to the elements -0.26 eV per atom, mass density 9.55 g cm⁻³. Number 2: uncorrected energy -3.81 eV/atom, energy relative to the elements -0.30 eV per atom, mass density 9.77 g cm⁻³.